# PBE HfNi4Ru, optimized geometry
data_HfNi4Ru
_cell_length_a 6.746
_cell_length_b 6.746
_cell_length_c 6.746
_cell_angle_alpha 90.00
_cell_angle_beta 90.00
_cell_angle_gamma 90.00
_symmetry_space_group_name_H-M 'F -4 3 m'
_symmetry_Int_Tables_number 216
_symmetry_space_group_name_Hall 'F -4 2 3'
loop_
_atom_site_label
_atom_site_type_symbol
_atom_site_fract_x
_atom_site_fract_y
_atom_site_fract_z
Hf1 Hf 0.000 0.000 0.000
Ni1 Ni 0.124 0.124 0.624
Ru1 Ru 0.250 0.250 0.250
# E_form, eV per atom: -0.275
# Crystal system: cubic
# Total magnetization, μB/atom: 0.337
# Total DFT energy (no corrections), eV per atom: -7.33

***

# PBE MgAl2Pd8, optimized geometry
data_MgAl2Pd8
_cell_length_a 4.075
_cell_length_b 7.018
_cell_length_c 11.923
_cell_angle_alpha 90.00
_cell_angle_beta 90.00
_cell_angle_gamma 90.00
_symmetry_space_group_name_H-M 'I m m m'
_symmetry_Int_Tables_number 71
_symmetry_space_group_name_Hall '-I 2 2'
loop_
_atom_site_label
_atom_site_type_symbol
_atom_site_fract_x
_atom_site_fract_y
_atom_site_fract_z
Mg1 Mg 0.000 0.000 0.000
Al1 Al 0.000 0.000 0.305
Pd1 Pd 0.000 0.192 0.500
Pd2 Pd 0.000 0.282 0.162
Pd3 Pd 0.000 0.500 0.354
# E_form, eV per atom: -0.598
# Crystal system: orthorhombic
# Total magnetization, μB/atom: 0.000
# Distance to the lowest polymorph of the same formula, meV/atom: 0
# Total DFT energy (no corrections), eV per atom: -5.20

***

# PBE ScAl2Au2, optimized geometry
data_ScAl2Au2
_cell_length_a 3.925
_cell_length_b 3.925
_cell_length_c 12.220
_cell_angle_alpha 90.00
_cell_angle_beta 90.00
_cell_angle_gamma 90.00
_symmetry_space_group_name_H-M 'I 4/m m m'
_symmetry_Int_Tables_number 139
_symmetry_space_group_name_Hall '-I 4 2'
loop_
_atom_site_label
_atom_site_type_symbol
_atom_site_fract_x
_atom_site_fract_y
_atom_site_fract_z
Sc1 Sc 0.000 0.000 0.000
Al1 Al 0.000 0.500 0.250
Au1 Au 0.000 0.000 0.389
# E_form, eV per atom: -0.568
# Crystal system: tetragonal
# Total magnetization, μB/atom: 0.000
# Total DFT energy (no corrections), eV per atom: -4.64

***

# PBE ZnNi3, optimized geometry
data_ZnNi3
_cell_length_a 2.561
_cell_length_b 2.561
_cell_length_c 6.985
_cell_angle_alpha 90.00
_cell_angle_beta 90.00
_cell_angle_gamma 90.00
_symmetry_space_group_name_H-M 'P 4/m m m'
_symmetry_Int_Tables_number 123
_symmetry_space_group_name_Hall '-P 4 2'
loop_
_atom_site_label
_atom_site_type_symbol
_atom_site_fract_x
_atom_site_fract_y
_atom_site_fract_z
Zn1 Zn 0.000 0.000 0.000
Ni1 Ni 0.000 0.000 0.500
Ni2 Ni 0.500 0.500 0.258
# E_form, eV per atom: -0.089
# Crystal system: tetragonal
# Total magnetization, μB/atom: 0.235
# Total DFT energy (no corrections), eV per atom: -4.74